[1]
# Rb2CdBi2, relaxed, DFT GGA-PBE
data_Rb2CdBi2
_cell_length_a 8.0925
_cell_length_b 8.0925
_cell_length_c 6.1342
_cell_angle_alpha 90.00
_cell_angle_beta 90.00
_cell_angle_gamma 90.00
_space_group_name_H-M_alt 'P 4/m b m'
_space_group_IT_number 127
_space_group_name_Hall '-P 4 2ab'
loop_
_atom_site_label
_atom_site_type_symbol
_atom_site_fract_x
_atom_site_fract_y
_atom_site_fract_z
_atom_site_occupancy
Rb1 Rb 0.1664 0.3336 0.0000 1
Cd1 Cd 0.0000 0.0000 0.5000 1
Bi1 Bi 0.1389 0.6389 0.5000 1
# E above lowest polymorph = 0 meV per atom
# Energy = -23.8 eV/cell
# ΔH_f (0 K) = -259 meV/atom
# Mass density = 5.80 g/cm³
# Magnetization = 0.00 μB per formula unit

---

[2]
# NdGa3Au, relaxed, DFT GGA-PBE
data_NdGa3Au
_cell_length_a 4.3190
_cell_length_b 4.3190
_cell_length_c 10.9686
_cell_angle_alpha 90.00
_cell_angle_beta 90.00
_cell_angle_gamma 90.00
_space_group_name_H-M_alt 'I 4 m m'
_space_group_IT_number 107
_space_group_name_Hall 'I 4 -2'
loop_
_atom_site_label
_atom_site_type_symbol
_atom_site_fract_x
_atom_site_fract_y
_atom_site_fract_z
_atom_site_occupancy
Nd1 Nd 0.0000 0.0000 0.0000 1
Ga1 Ga 0.0000 0.0000 0.5927 1
Ga2 Ga 0.0000 0.5000 0.2347 1
Au1 Au 0.0000 0.0000 0.3650 1
# E above lowest polymorph = 0 meV per atom
# Energy = -40.3 eV/cell
# ΔH_f (0 K) = -604 meV/atom
# Mass density = 8.93 g/cm³
# Magnetization = 0.00 μB per formula unit

---

Question: Which value of energy does entry 1 give?
Answer: -23.8 eV/cell